1.
5
Lattice="-2.282 -0.595 -5.876 2.449 -5.828 -0.361 -5.375 -2.403 2.331" Properties=species:S:1:pos:R:3 comment="Rb3IrW | Alexandria via LeMat-Bulk | PBE | optimized geometry" space_group="Pm-3m (221)" formation_energy_ev_per_atom=1.915 magnetic_moment_mub_per_cell=6.00 pbc="T T T"
Rb -1.141 -0.297 -2.938
Rb 1.225 -2.914 -0.181
Rb -2.687 -1.202 1.165
W -2.604 -4.413 -1.954
Ir 0.000 0.000 0.000

2.
5
Lattice="-3.996 2.179 0.534 -2.144 -3.385 -2.224 -0.663 -2.190 3.971" Properties=species:S:1:pos:R:3 comment="RbIrW3 | Alexandria via LeMat-Bulk | PBE | optimized geometry" space_group="Pm-3m (221)" formation_energy_ev_per_atom=3.958 magnetic_moment_mub_per_cell=0.00 pbc="T T T"
Ir -3.401 -1.698 1.140
W -1.998 1.090 0.267
W -0.332 -1.095 1.985
W -1.072 -1.692 -1.112
Rb 0.000 0.000 0.000

3.
4
Lattice="-3.741 -2.033 1.795 -1.918 1.681 3.853 -4.100 2.121 -0.197" Properties=species:S:1:pos:R:3 comment="RbIrW2 | Alexandria via LeMat-Bulk | PBE | optimized geometry" space_group="Fm-3m (225)" formation_energy_ev_per_atom=1.754 magnetic_moment_mub_per_cell=0.00 pbc="T T T"
W -7.320 1.327 4.088
W -2.440 0.442 1.363
Rb 0.000 0.000 0.000
Ir -4.880 0.885 2.725

4.
5
Lattice="-0.080 -2.943 -1.929 3.192 -0.874 1.200 -3.501 -7.783 8.806" Properties=species:S:1:pos:R:3 comment="Rb2IrW2 | Alexandria via LeMat-Bulk | PBE | optimized geometry" space_group="I4/mmm (139)" formation_energy_ev_per_atom=1.582 magnetic_moment_mub_per_cell=1.02 pbc="T T T"
W -1.013 -6.317 3.256
W 0.623 -5.283 4.821
Rb -0.941 -8.525 6.621
Rb 0.552 -3.075 1.456
Ir 0.000 0.000 0.000

5.
10
Lattice="-0.722 9.899 -0.348 -1.077 -0.426 -9.864 -2.659 -0.184 0.298" Properties=species:S:1:pos:R:3 comment="Rb2IrW2 | Alexandria via LeMat-Bulk | PBE | optimized geometry" space_group="P4/mbm (127)" formation_energy_ev_per_atom=2.952 magnetic_moment_mub_per_cell=6.73 pbc="T T T"
W -2.212 1.502 -6.730
W -1.759 2.888 -1.840
W -2.248 7.787 -3.183
W -2.701 6.401 -8.073
Rb -0.566 6.026 -1.335
Rb -1.234 3.447 -8.877
Rb -0.498 0.961 -3.850
Rb -1.301 8.512 -6.362
Ir -0.900 4.737 -5.106
Ir 0.000 0.000 0.000

6.
5
Lattice="4.925 0.000 0.000 0.000 4.925 0.000 0.000 0.000 4.925" Properties=species:S:1:pos:R:3 comment="RbIrW3 | Alexandria via LeMat-Bulk | PBE | optimized geometry" space_group="Pm-3m (221)" formation_energy_ev_per_atom=2.164 magnetic_moment_mub_per_cell=0.00 pbc="T T T"
W 0.000 2.463 0.000
W 2.463 0.000 0.000
W 0.000 0.000 2.463
Rb 2.463 2.463 2.463
Ir 0.000 0.000 0.000

Question: Which formula does entry 2 have?
Answer: RbIrW3

Repeat the fourth record exactly.
5
Lattice="-0.080 -2.943 -1.929 3.192 -0.874 1.200 -3.501 -7.783 8.806" Properties=species:S:1:pos:R:3 comment="Rb2IrW2 | Alexandria via LeMat-Bulk | PBE | optimized geometry" space_group="I4/mmm (139)" formation_energy_ev_per_atom=1.582 magnetic_moment_mub_per_cell=1.02 pbc="T T T"
W -1.013 -6.317 3.256
W 0.623 -5.283 4.821
Rb -0.941 -8.525 6.621
Rb 0.552 -3.075 1.456
Ir 0.000 0.000 0.000